[1]
! In15Bi4Sb | Alexandria | PBE-GGA | relaxed; values from VASP
&SYSTEM
  ibrav = 0, nat = 20, ntyp = 3
/
ATOMIC_SPECIES
In 114.82 In.upf
Bi 208.98 Bi.upf
Sb 121.76 Sb.upf
CELL_PARAMETERS angstrom
4.7576 0.0000 0.0000
0.0000 4.7576 0.0000
0.0000 0.0000 25.6741
ATOMIC_POSITIONS angstrom
In 2.3788 2.3788 0.0000
In 2.3788 2.3788 5.0704
In 2.3788 2.3788 10.2444
In 2.3788 2.3788 15.4297
In 2.3788 2.3788 20.6037
In 2.3788 0.0000 2.4882
In 2.3788 0.0000 7.6652
In 2.3788 0.0000 12.8371
In 2.3788 0.0000 18.0090
In 2.3788 0.0000 23.1860
In 0.0000 2.3788 2.4882
In 0.0000 2.3788 7.6652
In 0.0000 2.3788 12.8371
In 0.0000 2.3788 18.0090
In 0.0000 2.3788 23.1860
Bi 0.0000 0.0000 5.0904
Bi 0.0000 0.0000 10.2600
Bi 0.0000 0.0000 15.4142
Bi 0.0000 0.0000 20.5837
Sb 0.0000 0.0000 0.0000
! Symmetry ... P4/mmm, No. 123
! Energy relative to the elements, uncorrected ... 26 meV per atom
! E_tot ... -3.01 eV per atom
! N(E_F) ... 10.220 states/eV/cell

[2]
! BaCaMg | Alexandria | PBE-GGA | relaxed; values from VASP
&SYSTEM
  ibrav = 0, nat = 3, ntyp = 3
/
ATOMIC_SPECIES
Ba 137.33 Ba.upf
Ca 40.08 Ca.upf
Mg 24.30 Mg.upf
CELL_PARAMETERS angstrom
5.8823 -0.0468 -0.0654
-2.9145 5.1097 0.0654
-2.9154 -1.6923 4.8201
ATOMIC_POSITIONS angstrom
Ba 0.0493 3.3724 4.4197
Ca 2.9645 1.6635 1.9779
Mg 0.0232 -0.0136 3.1987
! Symmetry ... I-4m2, No. 119
! E_tot ... -1.68 eV per atom
! N(E_F) ... 4.893 states/eV/cell

[3]
! K2PuAuS4 | Alexandria | PBE-GGA | relaxed; values from VASP
&SYSTEM
  ibrav = 0, nat = 8, ntyp = 4
/
ATOMIC_SPECIES
K 39.10 K.upf
Pu 244.00 Pu.upf
Au 196.97 Au.upf
S 32.06 S.upf
CELL_PARAMETERS angstrom
6.6218 0.2264 0.3468
-2.6167 6.0870 -0.3468
-2.6167 -2.7671 5.4328
ATOMIC_POSITIONS angstrom
K 0.6942 3.9867 1.2715
K 0.0000 0.0000 0.0000
Pu 0.6942 -0.4404 4.1613
Au -2.6167 1.6600 2.5430
S 1.9596 0.8370 2.1814
S -1.9498 -0.2869 3.7887
S 3.9273 3.4595 1.0716
S -1.1604 3.0830 3.8240
! Symmetry ... I-4, No. 82
! Energy relative to the elements, uncorrected ... -847 meV per atom
! E_tot ... -5.39 eV per atom
! N(E_F) ... 14.176 states/eV/cell

[4]
! Y2AgRh2 | Alexandria | PBE-GGA | relaxed; values from VASP
&SYSTEM
  ibrav = 0, nat = 10, ntyp = 3
/
ATOMIC_SPECIES
Y 88.91 Y.upf
Rh 102.91 Rh.upf
Ag 107.87 Ag.upf
CELL_PARAMETERS angstrom
-6.6264 0.5193 -3.2260
-1.4166 -7.0297 1.7782
-1.5177 1.1409 3.3011
ATOMIC_POSITIONS angstrom
Y -2.8313 -4.0487 2.2941
Y -6.3723 -4.9192 0.9670
Y -6.7293 -1.3209 -0.4408
Y -3.1884 -0.4503 0.8863
Rh -3.6603 -5.9044 0.3578
Rh -6.6420 -3.9994 -1.6714
Rh -4.3827 -0.6060 -1.8055
Rh -1.4011 -2.5111 0.2237
Ag 0.0000 0.0000 0.0000
Ag -4.0215 -3.2552 -0.7239
! Symmetry ... P4/mbm, No. 127
! E_tot ... -6.74 eV per atom
! N(E_F) ... 5.801 states/eV/cell